Entry from Alexandria via LeMat-Bulk: an optimized crystal structure of Re2IrRh (PBE).

symmetry	Cm
energy above the lowest structure with this stoichiometry	136	meV/atom
N(E_F)	3.598	states/eV per cell
total moment	0.00	μB/f.u.

abc: 4.741 4.741 4.808
angles: 80.81 80.81 33.32
Atoms (fractional coordinates):
Re 0.000 0.000 0.010
Re 0.748 0.748 0.742
Ir 0.255 0.255 0.239
Rh 0.497 0.497 0.509